A plane-wave DFT calculation with PBE-GGA was carried out for a relaxed Mn6CdPd12 crystal.

```
19
Lattice="6.6495 0.0041 0.0049 -1.0040 6.5733 0.0049 -1.0040 -1.1698 6.4683" Properties=species:S:1:pos:R:3 pbc="T T T"
Pd 4.9117 3.3623 4.3720
Pd 0.5074 5.1400 5.3857
Pd 4.1340 0.2675 1.0924
Pd 2.9134 5.4160 4.0894
Pd 5.0037 5.0702 2.2226
Pd 1.7280 -0.0084 2.3887
Pd -0.3623 0.3374 4.2556
Pd 0.3884 4.2420 0.4585
Pd 4.2530 1.1656 6.0197
Pd 2.5788 3.3430 6.0596
Pd 2.0626 2.0646 0.4186
Pd -0.2703 2.0453 2.1061
Mn 3.9293 2.7280 1.9374
Mn 0.7121 2.6796 4.5408
Mn 0.8067 4.0990 3.0303
Mn 3.8348 1.3086 3.4479
Mn 2.5407 4.2693 1.9037
Mn 2.1008 1.1383 4.5745
Cd 0.0000 0.0000 0.0000
```

Energy of formation from the pure elements   15.7 kJ/mol of atoms
V   283 Å³ per cell
DOS at the Fermi energy   14.0 states/eV per cell
Theoretical density   10.09 g/cm³
Magnetization   0.000 μB per cell


A plane-wave DFT calculation with PBE-GGA was carried out for a relaxed CeMgCu2Si2 crystal.

```
6
Lattice="-1.5317 3.7332 0.9082 -1.2203 -1.9567 -3.4336 -5.1639 -2.9781 3.5324" Properties=species:S:1:pos:R:3 pbc="T T T"
Cu -3.0220 0.9173 0.5513
Cu -4.8940 -2.1189 0.4557
Si -5.2387 -0.3611 2.0677
Si -2.6773 -0.8405 -1.0607
Ce 0.0000 0.0000 0.0000
Mg -2.5820 -1.4890 1.7662
```

Raw formation energy   -455 meV per atom
V   103 Å³ per cell
DOS at the Fermi energy   2.7 states/eV per cell
Theoretical density   5.62 g/cm³
Magnetization   0.074 μB per cell


Question: Which of these has the lowest V?
Answer: CeMgCu2Si2


Question: Which of these has the highest V?
Answer: Mn6CdPd12